Material: Rb4Nb2Si8O23
Method: DFT, SCAN
State: PBEsol geometry

Summary:
total moment	0.00	μB per formula unit
N(E_F)	0.00	states/eV per atom
final energy	-12.977	eV per atom

Unit cell a=6.9199 b=7.8497 c=11.0867 alpha=75.90 beta=88.70 gamma=71.37
Positions (direct):
O1 0.5418 0.9816 0.7518
O2 0.4582 0.0184 0.2482
O3 0.3660 0.3231 0.7829
O4 0.6340 0.6769 0.2171
O5 0.3851 0.2762 0.5523
O6 0.6149 0.7238 0.4477
O7 0.7097 0.2545 0.6713
O8 0.2903 0.7455 0.3287
O9 0.0225 0.0747 0.2087
O10 0.9775 0.9253 0.7913
O11 0.9819 0.7550 0.1918
O12 0.0181 0.2450 0.8082
O13 0.9197 0.8601 0.4066
O14 0.0803 0.1399 0.5934
O15 0.0000 0.5000 0.5000
O16 0.1685 0.2627 0.3618
O17 0.8315 0.7373 0.6382
O18 0.9451 0.4518 0.1365
O19 0.0549 0.5482 0.8635
O20 0.7604 0.7931 0.9906
O21 0.2396 0.2069 0.0094
O22 0.3797 0.3977 0.1520
O23 0.6203 0.6023 0.8480
Nb1 0.2176 0.2554 0.1823
Nb2 0.7824 0.7446 0.8177
Si1 0.5011 0.1990 0.6922
Si2 0.4989 0.8010 0.3078
Si3 0.0513 0.8656 0.2809
Si4 0.9487 0.1344 0.7191
Si5 0.1579 0.2970 0.4977
Si6 0.8421 0.7030 0.5023
Si7 0.8331 0.6686 0.1309
Si8 0.1669 0.3314 0.8691
Rb1 0.6913 0.2764 0.3492
Rb2 0.3087 0.7236 0.6508
Rb3 0.7027 0.2258 0.0056
Rb4 0.2973 0.7742 0.9944